# FePtPbO6, optimized geometry, DFT GGA+U
data_FePtPbO6
_chemical_formula_sum 'Fe2 Pt2 Pb2 O12'
_space_group_name_H-M_alt 'P -3 1 c'
_space_group_IT_number 163
_space_group_name_Hall '-P 3 2c'
_cell_length_a 5.2526
_cell_length_b 5.2526
_cell_length_c 9.2988
_cell_angle_alpha 90.00
_cell_angle_beta 90.00
_cell_angle_gamma 120.00
loop_
_atom_site_label
_atom_site_type_symbol
_atom_site_fract_x
_atom_site_fract_y
_atom_site_fract_z
Fe1 Fe 0.3333 0.6667 0.2500
Pt1 Pt 0.3333 0.6667 0.7500
Pb1 Pb 0.0000 0.0000 0.0000
O1 O 0.0021 0.3609 0.6335
# Spin magnetization in μB/f.u.: 4.55
# Final energy in eV per atom: -5.83